! GGA-PBE Ce4Tl2Zn3, relaxed; values from VASP
&SYSTEM
  ibrav = 0, nat = 9, ntyp = 3
/
ATOMIC_SPECIES
Ce 140.12 Ce.upf
Tl 204.38 Tl.upf
Zn 65.41 Zn.upf
ATOMIC_POSITIONS angstrom
Ce -2.610 0.582 -1.884
Ce -7.039 1.504 -0.789
Tl -6.514 4.957 -0.013
Zn -7.622 3.821 -2.627
Zn -4.271 3.061 -0.932
Zn 0.000 0.000 0.000
Ce -4.854 5.378 -2.770
Tl -5.379 1.925 -3.546
Ce -9.283 6.300 -1.674
CELL_PARAMETERS angstrom
-0.897 1.172 -4.609
-5.275 -1.140 -1.805
-5.721 6.849 2.856
! DFT formation energy = -180 meV/atom
! DOS(E_F) = 19.431 states/eV/cell
! SG = C2/m, No. 12


! GGA-PBE CeTlZn, relaxed; values from VASP
&SYSTEM
  ibrav = 0, nat = 3, ntyp = 3
/
ATOMIC_SPECIES
Zn 65.41 Zn.upf
Ce 140.12 Ce.upf
Tl 204.38 Tl.upf
ATOMIC_POSITIONS angstrom
Zn 1.518 1.518 7.577
Ce 0.000 0.000 2.090
Tl 1.518 1.518 4.795
CELL_PARAMETERS angstrom
3.037 0.000 0.000
0.000 3.037 0.000
-1.518 -1.518 8.507
! DFT formation energy = 249 meV/atom
! DOS(E_F) = 5.283 states/eV/cell
! SG = I4mm, No. 107


! GGA-PBE CeTlZn2, relaxed; values from VASP
&SYSTEM
  ibrav = 0, nat = 4, ntyp = 3
/
ATOMIC_SPECIES
Tl 204.38 Tl.upf
Zn 65.41 Zn.upf
Ce 140.12 Ce.upf
ATOMIC_POSITIONS angstrom
Tl 2.765 -0.182 0.000
Zn 2.765 -3.095 0.000
Ce 2.765 2.398 2.267
Zn 2.765 -2.154 2.267
CELL_PARAMETERS angstrom
2.765 -3.820 0.000
2.765 3.820 0.000
0.000 0.000 4.533
! DFT formation energy = -9 meV/atom
! DOS(E_F) = 6.790 states/eV/cell
! SG = Amm2, No. 38


! GGA-PBE CeTlZn, relaxed; values from VASP
&SYSTEM
  ibrav = 0, nat = 6, ntyp = 3
/
ATOMIC_SPECIES
Tl 204.38 Tl.upf
Ce 140.12 Ce.upf
Zn 65.41 Zn.upf
ATOMIC_POSITIONS angstrom
Tl -0.750 -2.602 -1.947
Ce -3.076 -1.903 0.339
Tl -5.313 -2.191 -2.118
Zn -2.237 -0.289 -2.457
Ce 0.000 0.000 0.000
Zn -3.826 -4.505 -1.608
CELL_PARAMETERS angstrom
-2.186 2.976 -3.136
2.275 -3.964 -1.606
-6.152 -3.805 0.678
! DFT formation energy = -223 meV/atom
! DOS(E_F) = 11.731 states/eV/cell
! SG = P6_3/mmc, No. 194


So what do the calculations give for total magnetization? Going down the list: 3.85 0.47 1.20 1.15 μB per formula unit.